A plane-wave DFT calculation with PBE was carried out for an optimized crystal structure of Ac6Pm5Nd2.

## Properties
ΔE_f (eV/atom): 0.145
E (eV per atom): -4.312

```
data_Ac6Pm5Nd2
_cell_length_a 11.481
_cell_length_b 23.932
_cell_length_c 3.784
_cell_angle_alpha 90.00
_cell_angle_beta 90.00
_cell_angle_gamma 90.00
_symmetry_space_group_name_H-M 'P b a m'
_symmetry_Int_Tables_number 55
loop_
_symmetry_equiv_pos_as_xyz
'x,y,z'
'-x,-y,-z'
'-x,-y,z'
'x,y,-z'
'x+1/2,-y+1/2,-z'
'-x+1/2,y+1/2,z'
'-x+1/2,y+1/2,-z'
'x+1/2,-y+1/2,z'
loop_
_atom_site_label
_atom_site_fract_x
_atom_site_fract_y
_atom_site_fract_z
_atom_site_occupancy
Ac1 0.020 0.111 0.000 1
Ac2 0.146 0.386 0.000 1
Ac3 0.166 0.632 0.500 1
Pm1 0.000 0.500 0.500 1
Pm2 0.087 0.249 0.500 1
Pm3 0.167 0.996 0.500 1
Nd1 0.164 0.769 0.000 1
```